Record 1
The following is a PBE-GGA calculation of crystalline AcHoAlIn at its relaxed geometry, from Alexandria.

Results
The energy of formation from the pure elements comes out at -0.316 eV/atom.

Cell: 5.4634 5.4634 5.4634 Å, 60.00 60.00 60.00°
Fractional coordinates of all 4 atoms:
Al  0.7500  0.7500  0.7500
Ho  0.0000  0.0000  0.0000
Ac  0.5000  0.5000  0.5000
In  0.2500  0.2500  0.2500



Record 2
The following is a PBE-GGA calculation of crystalline NaNi12Ge6 at its relaxed geometry, from Alexandria.

Results
The energy of formation from the pure elements comes out at -0.153 eV/atom.

Cell: 6.7307 6.7307 6.7307 Å, 105.48 105.48 105.48°
Fractional coordinates of all 19 atoms:
Ni  0.5777  0.8355  0.5777
Ni  0.8355  0.5777  0.5777
Ge  0.7434  0.7434  0.2984
Ge  0.7434  0.2984  0.7434
Ni  0.1208  0.8792  0.5000
Ni  0.4223  0.1645  0.4223
Ge  0.2566  0.2566  0.7016
Ge  0.2984  0.7434  0.7434
Ni  0.1208  0.5000  0.8792
Ni  0.5000  0.8792  0.1208
Ni  0.8792  0.5000  0.1208
Ni  0.5777  0.5777  0.8355
Na  0.0000  0.0000  0.0000
Ni  0.8792  0.1208  0.5000
Ni  0.4223  0.4223  0.1645
Ni  0.1645  0.4223  0.4223
Ni  0.5000  0.1208  0.8792
Ge  0.2566  0.7016  0.2566
Ge  0.7016  0.2566  0.2566



Record 3
The following is a PBE-GGA calculation of crystalline K2ZnRuO4 at its relaxed geometry, from Alexandria.

Results
The calculation puts the formation energy without anion corrections at -1158.3 meV/atom.

Cell: 5.5778 5.5778 5.5778 Å, 98.96 114.97 114.97°
Fractional coordinates of all 8 atoms:
K  0.5000  0.7500  0.2500
O  0.8898  0.5347  0.1395
Zn  0.5000  0.2500  0.7500
O  0.1102  0.2497  0.6449
K  0.0000  0.0000  0.0000
O  0.3952  0.8605  0.7503
O  0.6048  0.3551  0.4653
Ru  0.0000  0.5000  0.5000



Record 4
The following is a PBE-GGA calculation of crystalline Ba2SmF8 at its relaxed geometry, from Alexandria.

Results
The calculation puts the formation energy without anion corrections at -3567.4 meV/atom.

Cell: 4.2957 6.0143 7.9423 Å, 113.17 105.69 90.00°
Last column: magnetic moment on the atom in μB.
Fractional coordinates of all 11 atoms:
Ba  0.8317  0.3436  0.6633  0.00
F  0.5977  0.7944  0.1955  0.12
F  0.4023  0.2056  0.8045  0.12
F  0.0120  0.2187  0.0240  0.09
Sm  0.5000  0.0000  0.0000  -0.01
F  0.6449  0.3380  0.2899  0.06
F  0.3551  0.6620  0.7101  0.06
F  0.7811  0.8551  0.5622  0.24
F  0.2189  0.1449  0.4378  0.24
F  0.9880  0.7813  0.9760  0.09
Ba  0.1683  0.6564  0.3367  0.00



Record 5
The following is a PBE-GGA calculation of crystalline Tm5Tl2Rh2 at its relaxed geometry, from Alexandria.

Results
The energy of formation from the pure elements comes out at -0.591 eV/atom.

Cell: 7.4526 7.5341 8.9358 Å, 114.93 90.00 90.00°
Fractional coordinates of all 18 atoms:
Tm  0.3363  0.7163  0.7694
Rh  0.6376  0.8645  0.0000
Tm  0.6637  0.2837  0.2306
Tl  0.0000  0.7796  0.5592
Tl  0.0000  0.2204  0.4408
Rh  0.1376  0.6355  0.0000
Tm  0.1637  0.4469  0.2306
Tm  0.6637  0.0531  0.7694
Tl  0.5000  0.7204  0.4408
Tm  0.3363  0.9469  0.2306
Tm  0.0000  0.0000  0.0000
Tm  0.8363  0.5531  0.7694
Tl  0.5000  0.2796  0.5592
Rh  0.8624  0.3645  0.0000
Tm  0.1637  0.2163  0.7694
Tm  0.8363  0.7837  0.2306
Rh  0.3624  0.1355  0.0000
Tm  0.5000  0.5000  0.0000



Record 6
The following is a PBE-GGA calculation of crystalline CsAu2Cl6 at its relaxed geometry, from Alexandria.

Results
The calculation puts the formation energy without anion corrections at -624.2 meV/atom.

Cell: 6.7961 9.9147 9.9147 Å, 100.37 83.30 83.30°
Fractional coordinates of all 18 atoms:
Au  0.7250  0.8291  0.6922
Cl  0.0162  0.4576  0.1992
Cl  0.9838  0.5424  0.8008
Cl  0.0104  0.1992  0.4880
Au  0.2250  0.6922  0.8291
Cl  0.4838  0.8008  0.5424
Cs  0.2500  0.2141  0.7859
Cl  0.4896  0.5120  0.8008
Au  0.2750  0.1709  0.3078
Cl  0.9554  0.8862  0.8612
Cl  0.5446  0.1388  0.1138
Cl  0.4554  0.8612  0.8862
Cl  0.5104  0.4880  0.1992
Au  0.7750  0.3078  0.1709
Cl  0.0446  0.1138  0.1388
Cs  0.7500  0.7859  0.2141
Cl  0.9896  0.8008  0.5120
Cl  0.5162  0.1992  0.4576



Record 7
The following is a PBE-GGA calculation of crystalline K2PrGeSe4 at its relaxed geometry, from Alexandria.

Results
The calculation puts the formation energy without anion corrections at -1075.7 meV/atom.

Cell: 8.7355 8.7355 8.8845 Å, 120.56 120.57 90.10°
Fractional coordinates of all 16 atoms:
Se  0.7581  0.7419  0.5433
Se  0.2419  0.2581  0.0433
Se  0.2419  0.2581  0.4567
Pr  0.0000  0.5000  0.5000
Se  0.7581  0.7419  0.9567
Se  0.2539  0.7113  0.4826
Ge  0.0000  0.0000  0.0000
K  0.5000  0.0000  0.0000
K  0.5000  0.5000  0.0000
Se  0.7888  0.2461  0.0174
Se  0.2113  0.7539  0.9826
K  0.5000  0.0000  0.5000
Se  0.7461  0.2887  0.5174
K  0.0000  0.0000  0.5000
Pr  0.0000  0.5000  0.0000
Ge  0.5000  0.5000  0.5000



Record 8
The following is a PBE-GGA calculation of crystalline KAl2Co at its relaxed geometry, from Alexandria.

Results
The excess energy over the best structure of this formula in the dataset comes out at 158.8 meV per atom. The energy of formation from the pure elements comes out at 0.184 eV/atom.

Cell: 3.2526 3.2526 8.0048 Å, 90.00 90.00 90.01°
Last column: magnetic moment on the atom in μB.
Fractional coordinates of all 4 atoms:
Al  0.5000  0.5000  0.3053  -0.01
Al  0.0000  0.0000  0.0819  0.00
K  0.5000  0.5000  0.7293  0.00
Co  0.0000  0.0000  0.3836  0.53



Record 9
The following is a PBE-GGA calculation of crystalline Sb3P7Pt4 at its relaxed geometry, from Alexandria.

Results
The calculation puts the formation energy without anion corrections at -93.1 meV/atom.

Cell: 9.7006 9.7006 11.1297 Å, 43.67 43.67 22.64°
Fractional coordinates of all 14 atoms:
Pt  0.0812  0.0812  0.0526
P  0.5000  0.5000  0.5000
Pt  0.9188  0.9188  0.9474
P  0.3424  0.3424  0.9477
Sb  0.1515  0.1515  0.2735
Sb  0.5000  0.5000  0.0000
P  0.9042  0.9042  0.3424
Sb  0.8485  0.8485  0.7265
P  0.6576  0.6576  0.0523
P  0.0958  0.0958  0.6576
Pt  0.6453  0.6453  0.4721
P  0.1749  0.1749  0.7354
P  0.8251  0.8251  0.2646
Pt  0.3547  0.3547  0.5279



Record 10
The following is a PBE-GGA calculation of crystalline Tm2GaHg3 at its relaxed geometry, from Alexandria.

Results
The excess energy over the best structure of this formula in the dataset comes out at 0.0 meV per atom. The energy of formation from the pure elements comes out at -0.389 eV/atom.

Cell: 5.8992 5.8992 9.0052 Å, 102.86 102.86 108.68°
Fractional coordinates of all 12 atoms:
Tm  0.2500  0.7500  0.5000
Hg  0.3440  0.8267  0.1707
Tm  0.2466  0.2466  0.0000
Tm  0.7534  0.7534  0.0000
Hg  0.1733  0.6560  0.8293
Tm  0.7500  0.2500  0.5000
Hg  0.8300  0.8300  0.6600
Ga  0.6680  0.6680  0.3360
Ga  0.3320  0.3320  0.6640
Hg  0.8267  0.3440  0.1707
Hg  0.1700  0.1700  0.3400
Hg  0.6560  0.1733  0.8293



Record 11
The following is a PBE-GGA calculation of crystalline K2RbCaCl at its relaxed geometry, from Alexandria.

Results
The calculation puts the formation energy without anion corrections at -566.8 meV/atom.

Cell: 6.3792 6.3792 6.6132 Å, 90.00 90.00 90.00°
Fractional coordinates of all 5 atoms:
Rb  0.0000  0.0000  0.5000
Cl  0.0000  0.0000  0.0000
K  0.5000  0.0000  0.0000
K  0.0000  0.5000  0.0000
Ca  0.5000  0.5000  0.5000



Record 12
The following is a PBE-GGA calculation of crystalline NaLiYCl5 at its relaxed geometry, from Alexandria.

Results
The calculation puts the formation energy without anion corrections at -2031.9 meV/atom.

Cell: 7.3095 7.3095 9.7661 Å, 102.47 102.47 112.01°
Fractional coordinates of all 16 atoms:
Cl  0.7467  0.6002  0.4378
Y  0.0000  0.0000  0.0000
Y  0.0000  0.0000  0.5000
Cl  0.3998  0.2533  0.0622
Na  0.3901  0.6099  0.2500
Cl  0.2533  0.3998  0.5622
Cl  0.9069  0.0931  0.7500
Cl  0.0931  0.9069  0.2500
Na  0.6099  0.3901  0.7500
Cl  0.0306  0.6664  0.8585
Cl  0.6664  0.0306  0.3585
Cl  0.9694  0.3336  0.1415
Cl  0.6002  0.7467  0.9378
Li  0.2980  0.7020  0.7500
Li  0.7020  0.2980  0.2500
Cl  0.3336  0.9694  0.6415



The D(E_F) results, record by record, are as follows: 1.1, 9.0, 3.0, 12.3, 12.4, 8.8, 7.7, 2.6, 4.7, 7.3, 4.4, 0.0 states/eV/cell.
The volume results, record by record, are as follows: 28.83, 13.88, 16.29, 16.39, 25.28, 35.90, 29.42, 21.17, 19.44, 22.86, 53.82, 27.89 A^3/atom.